# PBE NaAc2Co, optimized geometry
data_NaAc2Co
_cell_length_a 4.170
_cell_length_b 5.850
_cell_length_c 11.786
_cell_angle_alpha 90.00
_cell_angle_beta 100.27
_cell_angle_gamma 90.00
_space_group_name_H-M_alt 'P 1'
_space_group_IT_number 1
loop_
_space_group_symop_operation_xyz
'x,y,z'
loop_
_atom_site_label
_atom_site_fract_x
_atom_site_fract_y
_atom_site_fract_z
_atom_site_occupancy
Ac1 0.789 0.750 0.578 1
Ac2 0.211 0.250 0.422 1
Na1 0.964 0.750 0.922 1
Co1 0.195 0.750 0.392 1
Ac3 0.383 0.250 0.765 1
Co2 0.805 0.250 0.608 1
Ac4 0.617 0.750 0.235 1
Na2 0.036 0.250 0.078 1
# Space-group type: P2_1/m (11)
# Total energy (eV per atom): -4.15
# Total moment (μB per formula unit): 0.00
# D(E_F) (states/eV per atom): 0.678
# Energy of formation (meV per atom): 7.5
# Energy relative to the lowest polymorph listed for this composition (eV per atom): 0.019

=====

# PBE ScTa2HgGe, optimized geometry
data_ScTa2HgGe
_cell_length_a 4.822
_cell_length_b 5.263
_cell_length_c 4.822
_cell_angle_alpha 90.00
_cell_angle_beta 90.00
_cell_angle_gamma 90.00
_space_group_name_H-M_alt 'P 1'
_space_group_IT_number 1
loop_
_space_group_symop_operation_xyz
'x,y,z'
loop_
_atom_site_label
_atom_site_fract_x
_atom_site_fract_y
_atom_site_fract_z
_atom_site_occupancy
Ta1 0.500 0.000 0.000 1
Sc1 0.000 0.000 0.000 1
Ge1 0.500 0.500 0.500 1
Hg1 0.000 0.500 0.000 1
Ta2 0.000 0.000 0.500 1
# Space-group type: P4/mmm (123)
# Total energy (eV per atom): -5.26
# Total moment (μB per formula unit): 0.00
# D(E_F) (states/eV per atom): 1.180
# Energy of formation (meV per atom): 1735.4

=====

# PBE MgHgI2O, optimized geometry
data_MgHgI2O
_cell_length_a 6.049
_cell_length_b 6.049
_cell_length_c 4.095
_cell_angle_alpha 90.00
_cell_angle_beta 90.00
_cell_angle_gamma 90.00
_space_group_name_H-M_alt 'P 1'
_space_group_IT_number 1
loop_
_space_group_symop_operation_xyz
'x,y,z'
loop_
_atom_site_label
_atom_site_fract_x
_atom_site_fract_y
_atom_site_fract_z
_atom_site_occupancy
I1 0.000 0.500 0.000 1
Hg1 0.000 0.000 0.000 1
Mg1 0.500 0.500 0.500 1
I2 0.500 0.000 0.000 1
O1 0.000 0.000 0.500 1
# Space-group type: P4/mmm (123)
# Total energy (eV per atom): -1.97
# Total moment (μB per formula unit): 0.00
# E_form (uncorrected) (eV per atom): 0.02
# D(E_F) (states/eV per atom): 1.097
# Energy relative to the lowest polymorph listed for this composition (eV per atom): 0.542

=====

# PBE CsMoRu2, optimized geometry
data_CsMoRu2
_cell_length_a 7.354
_cell_length_b 7.354
_cell_length_c 6.283
_cell_angle_alpha 54.18
_cell_angle_beta 54.18
_cell_angle_gamma 90.00
_space_group_name_H-M_alt 'P 1'
_space_group_IT_number 1
loop_
_space_group_symop_operation_xyz
'x,y,z'
loop_
_atom_site_label
_atom_site_fract_x
_atom_site_fract_y
_atom_site_fract_z
_atom_site_occupancy
Cs1 0.000 0.000 0.000 1
Ru1 0.202 0.625 0.250 1
Ru2 0.875 0.798 0.750 1
Mo1 0.250 0.750 0.500 1
Mo2 0.500 0.500 0.000 1
Ru3 0.375 0.452 0.750 1
Ru4 0.548 0.125 0.250 1
Cs2 0.750 0.250 0.500 1
# Space-group type: I-42d (122)
# Total energy (eV per atom): -6.11
# Total moment (μB per formula unit): 0.00
# D(E_F) (states/eV per atom): 0.946
# Energy of formation (meV per atom): 1452.5
# Energy relative to the lowest polymorph listed for this composition (eV per atom): 0.000

=====

# PBE Gd2CoAg, optimized geometry
data_Gd2CoAg
_cell_length_a 3.410
_cell_length_b 3.410
_cell_length_c 7.580
_cell_angle_alpha 90.00
_cell_angle_beta 90.00
_cell_angle_gamma 90.00
_space_group_name_H-M_alt 'P 1'
_space_group_IT_number 1
loop_
_space_group_symop_operation_xyz
'x,y,z'
loop_
_atom_site_label
_atom_site_fract_x
_atom_site_fract_y
_atom_site_fract_z
_atom_site_occupancy
Gd1 0.000 0.000 0.780 1
Ag1 0.500 0.500 0.500 1
Gd2 0.000 0.000 0.220 1
Co1 0.500 0.500 0.000 1
# Space-group type: P4/mmm (123)
# Total energy (eV per atom): -9.74
# Total moment (μB per formula unit): 13.63
# D(E_F) (states/eV per atom): 0.893
# Energy of formation (meV per atom): -211.2

=====

# PBE Pm3Dy6YTh2, optimized geometry
data_Pm3Dy6YTh2
_cell_length_a 6.203
_cell_length_b 6.203
_cell_length_c 11.811
_cell_angle_alpha 95.03
_cell_angle_beta 95.03
_cell_angle_gamma 119.96
_space_group_name_H-M_alt 'P 1'
_space_group_IT_number 1
loop_
_space_group_symop_operation_xyz
'x,y,z'
loop_
_atom_site_label
_atom_site_fract_x
_atom_site_fract_y
_atom_site_fract_z
_atom_site_occupancy
Th1 0.667 0.333 0.000 1
Pm1 0.834 0.166 0.500 1
Dy1 0.082 0.420 0.246 1
Dy2 0.256 0.256 0.754 1
Dy3 0.420 0.082 0.246 1
Pm2 0.166 0.834 0.500 1
Dy4 0.744 0.744 0.246 1
Y1 0.000 0.000 0.000 1
Dy5 0.918 0.580 0.754 1
Th2 0.333 0.667 0.000 1
Pm3 0.500 0.500 0.500 1
Dy6 0.580 0.918 0.754 1
# Space-group type: C2/m (12)
# Total energy (eV per atom): -5.24
# Total moment (μB per formula unit): 0.00
# D(E_F) (states/eV per atom): 1.328
# Energy of formation (meV per atom): 20.5

=====

- Which of these has the lowest D(E_F)?
  NaAc2Co